(1)
Below is an optimized crystal structure of AlCuNi, with properties calculated at the PBE level.

The energy of formation from the pure elements comes out at -1.0 eV/f.u. Its density of states at the Fermi level is 6.93 states/eV/cell. The offset from the most stable computed form is 0.074 eV/atom.

Geometry as POSCAR:
```
AlCuNi
1.0
4.094 0.000 0.000
0.000 7.042 0.000
0.000 0.000 5.079
Al Cu Ni
4 4 4
direct
0.246 0.082 0.250
0.246 0.418 0.750
0.754 0.582 0.250
0.754 0.918 0.750
0.254 0.083 0.750
0.254 0.417 0.250
0.746 0.583 0.750
0.746 0.917 0.250
0.249 0.750 0.000
0.249 0.750 0.500
0.751 0.250 0.000
0.751 0.250 0.500
```

(2)
Below is an optimized crystal structure of SrCaOs2, with properties calculated at the PBE level.

The energy of formation from the pure elements comes out at 1.7 eV/f.u. Its density of states at the Fermi level is 4.42 states/eV/cell. The offset from the most stable computed form is 0.030 eV/atom.

Geometry as POSCAR:
```
SrCaOs2
1.0
3.045 0.000 0.000
0.000 3.737 0.000
0.000 0.000 8.877
Sr Ca Os
1 1 2
direct
0.000 0.000 0.000
0.500 0.500 0.600
0.000 0.000 0.361
0.500 0.500 0.259
```

(3)
Below is an optimized crystal structure of Pb2ICl3, with properties calculated at the PBE level.

As for the formation energy from raw total energies: -1.01 eV/atom. Its density of states at the Fermi level is 0.00 states/eV/cell.

Geometry as POSCAR:
```
Pb2ICl3
1.0
9.386 -2.254 0.000
9.386 2.254 0.000
-8.258 0.000 11.354
Pb I Cl
4 2 6
direct
0.128 0.128 0.437
0.365 0.365 0.138
0.635 0.635 0.862
0.872 0.872 0.563
0.100 0.100 0.674
0.900 0.900 0.326
0.176 0.176 0.023
0.262 0.262 0.405
0.441 0.441 0.729
0.559 0.559 0.271
0.738 0.738 0.595
0.824 0.824 0.977
```